Record 1
The following is a PBE-GGA calculation of a relaxed Pm5Mg2 crystal, from the Alexandria database.

Properties
distance to the lowest polymorph of the same formula	0.0	meV/atom
uncorrected energy	-27.0	eV for the cell shown
SG	No. 139

Cell lengths 3.5827, 3.5827, 17.2717 Å; angles 95.95, 95.95, 90.00 degrees
With the nearest neighbours (Å) after each atom.
Fractional coordinates of all 7 atoms:
Pm: 0.1541 0.1541 0.3082  4 Mg 3.46, 8 Pm 3.58-3.64
Pm: 0.8459 0.8459 0.6918  4 Mg 3.46, 8 Pm 3.58-3.64
Mg: 0.2768 0.2768 0.5536  4 Mg 3.13, 4 Pm 3.46
Pm: 0.4224 0.4224 0.8449  12 Pm 3.58-3.67
Pm: 0.0000 0.0000 0.0000  12 Pm 3.58-3.67
Pm: 0.5776 0.5776 0.1551  12 Pm 3.58-3.67
Mg: 0.7232 0.7232 0.4464  4 Mg 3.13, 4 Pm 3.46

***

Record 2
The following is a PBE-GGA calculation of a relaxed CrNiSbTe2 crystal, from the Alexandria database.

Properties
distance to the lowest polymorph of the same formula	288.6	meV/atom
uncorrected energy	-21.7	eV for the cell shown
SG	No. 123
E_form (uncorrected)	0.816	eV/atom

Cell lengths 5.1554, 5.1554, 4.9860 Å; angles 90.00, 90.00, 90.00 degrees
With the nearest neighbours (Å) after each atom.
Fractional coordinates of all 5 atoms:
Ni: 0.5000 0.5000 0.5000  8 Te 3.59, 4 Sb 3.65
Te: 0.0000 0.5000 0.0000  2 Cr 2.58
Cr: 0.0000 0.0000 0.0000  2 Sb 2.49, 4 Te 2.58
Sb: 0.0000 0.0000 0.5000  2 Cr 2.49
Te: 0.5000 0.0000 0.0000  2 Cr 2.58

***

Record 3
The following is a PBE-GGA calculation of a relaxed CaHoMg17 crystal, from the Alexandria database.

Properties
uncorrected energy	-34.0	eV for the cell shown
SG	No. 160

Cell lengths 7.8233, 7.8233, 7.8233 Å; angles 82.31, 82.31, 82.31 degrees
With the nearest neighbours (Å) after each atom.
Fractional coordinates of all 19 atoms:
Ho: 0.3295 0.3295 0.3295  16 Mg 3.48-3.84
Mg: 0.0026 0.0026 0.4978  10 Mg 2.98-3.17
Mg: 0.1607 0.6463 0.6463  8 Mg 2.94-3.22
Mg: 0.3517 0.3517 0.8425  9 Mg 2.94-3.27
Mg: 0.0021 0.6968 0.3017  8 Mg 2.98-3.22
Mg: 0.6463 0.1607 0.6463  8 Mg 2.94-3.22
Mg: 0.6968 0.0021 0.3017  8 Mg 2.98-3.22
Mg: 0.3017 0.0021 0.6968  8 Mg 2.98-3.22
Mg: 0.6968 0.3017 0.0021  8 Mg 2.98-3.22
Mg: 0.8425 0.3517 0.3517  9 Mg 2.94-3.27
Ca: 0.6652 0.6652 0.6652  19 Mg 3.59-3.99
Mg: 0.9007 0.9007 0.9007  7 Mg 3.06-3.31
Mg: 0.0026 0.4978 0.0026  10 Mg 2.98-3.17
Mg: 0.0021 0.3017 0.6968  8 Mg 2.98-3.22
Mg: 0.3017 0.6968 0.0021  8 Mg 2.98-3.22
Mg: 0.4978 0.0026 0.0026  10 Mg 2.98-3.17
Mg: 0.6463 0.6463 0.1607  8 Mg 2.94-3.22
Mg: 0.1015 0.1015 0.1015  7 Mg 3.06-3.27
Mg: 0.3517 0.8425 0.3517  9 Mg 2.94-3.27

***

Record 4
The following is a PBE-GGA calculation of a relaxed AcEuYSn crystal, from the Alexandria database.

Properties
uncorrected energy	-25.5	eV for the cell shown
SG	No. 216

Cell lengths 5.6726, 5.6726, 5.6726 Å; angles 60.00, 60.00, 60.00 degrees
With the nearest neighbours (Å) after each atom.
Fractional coordinates of all 4 atoms:
Y: 0.7500 0.7500 0.7500  4 Ac 3.47, 4 Sn 3.47
Sn: 0.0000 0.0000 0.0000  4 Eu 3.47, 4 Y 3.47
Ac: 0.5000 0.5000 0.5000  4 Eu 3.47, 4 Y 3.47
Eu: 0.2500 0.2500 0.2500  4 Ac 3.47, 4 Sn 3.47

***

Record 5
The following is a PBE-GGA calculation of a relaxed Cu5Pd8Pt crystal, from the Alexandria database.

Properties
uncorrected energy	-66.5	eV for the cell shown
SG	No. 82

Cell lengths 6.5046, 6.5046, 6.5046 Å; angles 109.68, 109.05, 109.68 degrees
With the nearest neighbours (Å) after each atom.
Fractional coordinates of all 14 atoms:
Cu: 0.5000 0.0000 0.5000  8 Pd 2.47-2.61
Cu: 0.3102 0.0937 0.9707  8 Pd 2.52-2.71
Cu: 0.7835 0.6605 0.6898  8 Pd 2.52-2.71
Pd: 0.0891 0.7360 0.4890  5 Cu 2.61-2.71, 4 Pd 2.72-2.88, 1 Pt 2.83
Pt: 0.2500 0.5000 0.7500  8 Pd 2.60-2.83
Pd: 0.9323 0.0706 0.6682  5 Cu 2.47-2.62, 1 Pt 2.60
Pd: 0.6469 0.3999 0.9109  5 Cu 2.61-2.71, 4 Pd 2.72-2.88, 1 Pt 2.83
Pd: 0.1383 0.7360 0.0677  5 Cu 2.47-2.62, 1 Pt 2.60
Pd: 0.5110 0.6001 0.2470  5 Cu 2.61-2.71, 4 Pd 2.72-2.88, 1 Pt 2.83
Cu: 0.0293 0.3395 0.1230  8 Pd 2.52-2.71
Pd: 0.3318 0.2640 0.4024  5 Cu 2.47-2.62, 1 Pt 2.60
Pd: 0.7530 0.2640 0.3531  5 Cu 2.61-2.71, 4 Pd 2.72-2.88, 1 Pt 2.83
Pd: 0.5976 0.9294 0.8617  5 Cu 2.47-2.62, 1 Pt 2.60
Cu: 0.8770 0.9063 0.2165  8 Pd 2.52-2.71

***

Record 6
The following is a PBE-GGA calculation of a relaxed Dy4HgAu2 crystal, from the Alexandria database.

Properties
distance to the lowest polymorph of the same formula	114.3	meV/atom
uncorrected energy	-28.4	eV for the cell shown
SG	No. 166

Cell lengths 4.8478, 4.8478, 10.0720 Å; angles 76.07, 76.07, 60.00 degrees
With the nearest neighbours (Å) after each atom.
Fractional coordinates of all 7 atoms:
Dy: 0.6171 0.6171 0.1488  3 Hg 3.15, 3 Au 3.17
Dy: 0.3829 0.3829 0.8512  3 Hg 3.15, 3 Au 3.17
Au: 0.8988 0.8988 0.3035  7 Dy 2.93-3.17, 1 Hg 2.94
Au: 0.1012 0.1012 0.6965  7 Dy 2.93-3.17, 1 Hg 2.94
Dy: 0.2026 0.2026 0.3921  4 Au 2.93-2.94
Dy: 0.7974 0.7974 0.6079  4 Au 2.93-2.94
Hg: 0.0000 0.0000 0.0000  2 Au 2.94, 6 Dy 3.15

***

Record 7
The following is a PBE-GGA calculation of a relaxed Ac3PrSi4 crystal, from the Alexandria database.

Properties
uncorrected energy	-42.5	eV for the cell shown
SG	No. 71
E_form (uncorrected)	-0.460	eV/atom

Cell lengths 4.5027, 6.5412, 9.3909 Å; angles 110.39, 103.87, 90.00 degrees
With the nearest neighbours (Å) after each atom.
Fractional coordinates of all 8 atoms:
Pr: 0.5000 0.0000 0.0000  4 Si 3.02
Ac: 0.8063 0.8061 0.6125  6 Si 3.25-3.27
Si: 0.6280 0.4485 0.2561  1 Si 2.35
Ac: 0.0000 0.5000 0.0000  8 Si 3.35
Ac: 0.1937 0.1939 0.3875  6 Si 3.25-3.27
Si: 0.3720 0.5515 0.7439  1 Si 2.35
Si: 0.3719 0.1921 0.7437  1 Si 2.35
Si: 0.6281 0.8079 0.2563  1 Si 2.35

***

Record 8
The following is a PBE-GGA calculation of a relaxed PmBeAl2 crystal, from the Alexandria database.

Properties
distance to the lowest polymorph of the same formula	0.0	meV/atom
uncorrected energy	-16.9	eV for the cell shown
SG	No. 166

Cell lengths 4.0776, 4.0776, 5.9600 Å; angles 70.00, 70.00, 60.00 degrees
With the nearest neighbours (Å) after each atom.
Fractional coordinates of all 4 atoms:
Pm: 0.0000 0.0000 0.0000  8 Al 3.12-3.42
Al: 0.7917 0.7917 0.6249  3 Be 2.45, 3 Al 2.72
Al: 0.2083 0.2083 0.3751  3 Be 2.45, 3 Al 2.72
Be: 0.5000 0.5000 0.5000  6 Al 2.45